Below is an optimized crystal structure of SrLi4Zn2, with properties calculated at the PBE level.

Results
For the total magnetization, the calculation gives 0.000 μB per atom. As for the density of states at the Fermi level: 7.71 states/eV per cell. The calculation puts the volume at 22.0 Å³ per atom. The energy of formation from the pure elements comes out at -94 meV per atom.

Unit cell a=4.6448 b=14.2288 c=4.6603 alpha=90.00 beta=90.00 gamma=90.00
Last column: nearest neighbours and their distance in Å.
Space group Cmmm (No. 65)
One atom of each set of equivalent atoms:
Sr: 0.0000 0.0000 0.0000 x2  8 Zn 3.53, 8 Li 3.55-3.63
Li: 0.0000 0.1957 0.5000 x4  3 Zn 2.76-3.04, 4 Li 2.79-2.85
Li: 0.0000 0.3116 0.0000 x4  2 Zn 2.72, 4 Li 2.85-2.91
Zn: 0.0000 0.4096 0.5000 x4  1 Zn 2.57, 4 Li 2.72-2.76

***

Below is an optimized crystal structure of RbSbPbO6, with properties calculated at the PBE level.

Results
For the total magnetization, the calculation gives 0.223 μB per atom. As for the density of states at the Fermi level: 7.90 states/eV per cell. The calculation puts the volume at 19.4 Å³ per atom. The value obtained for the energy relative to the elements, uncorrected is -0.900 eV/atom.

Unit cell a=5.6534 b=5.6534 c=12.6036 alpha=90.00 beta=90.00 gamma=120.00
Last column: nearest neighbours and their distance in Å.
Space group P-31c (No. 163)
One atom of each set of equivalent atoms:
Rb: 0.0000 0.0000 0.0000 x2  6 O 2.96
Sb: 0.3333 0.6667 0.2500 x2  6 O 2.01
Pb: 0.3333 0.6667 0.7500 x2  6 O 2.20
O: 0.0244 0.3977 0.1582 x12  1 Sb 2.01, 1 Pb 2.20

***

Below is an optimized crystal structure of LaSc2Be, with properties calculated at the PBE level.

Results
For the total magnetization, the calculation gives 0.000 μB per atom. As for the density of states at the Fermi level: 5.56 states/eV per cell. The calculation puts the volume at 23.4 Å³ per atom. The energy of formation from the pure elements comes out at 276 meV per atom.

Unit cell a=3.6042 b=5.0073 c=5.1836 alpha=90.00 beta=90.00 gamma=90.00
Last column: nearest neighbours and their distance in Å.
Space group Pmmm (No. 47)
One atom of each set of equivalent atoms:
La: 0.0000 0.0000 0.0000 x1  4 Sc 3.08, 4 Be 3.16
Sc: 0.0000 0.5000 0.5000 x1  4 Be 3.08, 4 Sc 3.16
Sc: 0.5000 0.5000 0.0000 x1  4 La 3.08, 4 Sc 3.16
Be: 0.5000 0.0000 0.5000 x1  4 Sc 3.08, 4 La 3.16

***

Below is an optimized crystal structure of K2RbBaCu, with properties calculated at the PBE level.

Results
For the total magnetization, the calculation gives 0.000 μB per atom. As for the density of states at the Fermi level: 4.23 states/eV per cell. The calculation puts the volume at 59.4 Å³ per atom. The energy of formation from the pure elements comes out at 177 meV per atom.

Unit cell a=6.8257 b=6.8257 c=6.3785 alpha=90.00 beta=90.00 gamma=90.00
Last column: nearest neighbours and their distance in Å.
Space group P4/mmm (No. 123)
One atom of each set of equivalent atoms:
K: 0.0000 0.5000 0.0000 x2  2 Cu 3.41
Rb: 0.0000 0.0000 0.5000 x1  8 K 4.67, 4 Ba 4.83
Ba: 0.5000 0.5000 0.5000 x1  2 Cu 3.19
Cu: 0.5000 0.5000 0.0000 x1  2 Ba 3.19, 4 K 3.41

***

Q: Which of these has the highest total magnetization?
A: RbSbPbO6

***

Copy entry 2 word for word.
Below is an optimized crystal structure of RbSbPbO6, with properties calculated at the PBE level.

Results
For the total magnetization, the calculation gives 0.223 μB per atom. As for the density of states at the Fermi level: 7.90 states/eV per cell. The calculation puts the volume at 19.4 Å³ per atom. The value obtained for the energy relative to the elements, uncorrected is -0.900 eV/atom.

Unit cell a=5.6534 b=5.6534 c=12.6036 alpha=90.00 beta=90.00 gamma=120.00
Last column: nearest neighbours and their distance in Å.
Space group P-31c (No. 163)
One atom of each set of equivalent atoms:
Rb: 0.0000 0.0000 0.0000 x2  6 O 2.96
Sb: 0.3333 0.6667 0.2500 x2  6 O 2.01
Pb: 0.3333 0.6667 0.7500 x2  6 O 2.20
O: 0.0244 0.3977 0.1582 x12  1 Sb 2.01, 1 Pb 2.20

***

Repeat the fourth record exactly.
Below is an optimized crystal structure of K2RbBaCu, with properties calculated at the PBE level.

Results
For the total magnetization, the calculation gives 0.000 μB per atom. As for the density of states at the Fermi level: 4.23 states/eV per cell. The calculation puts the volume at 59.4 Å³ per atom. The energy of formation from the pure elements comes out at 177 meV per atom.

Unit cell a=6.8257 b=6.8257 c=6.3785 alpha=90.00 beta=90.00 gamma=90.00
Last column: nearest neighbours and their distance in Å.
Space group P4/mmm (No. 123)
One atom of each set of equivalent atoms:
K: 0.0000 0.5000 0.0000 x2  2 Cu 3.41
Rb: 0.0000 0.0000 0.5000 x1  8 K 4.67, 4 Ba 4.83
Ba: 0.5000 0.5000 0.5000 x1  2 Cu 3.19
Cu: 0.5000 0.5000 0.0000 x1  2 Ba 3.19, 4 K 3.41